1.
{
  "formula": "HoBi3",
  "functional": "meta-GGA SCAN",
  "state": "PBEsol geometry",
  "cell": [[-2.9996, 0.8742, -4.9973], [-0.2887, -6.6474, -0.9895], [-4.8641, 3.0996, 3.4618]],
  "species": ["Bi", "Bi", "Bi", "Bi", "Bi", "Bi", "Ho", "Ho"],
  "frac_coords": [[0.2500, 0.6550, 0.8275], [0.2500, 0.1725, 0.3450], [0.2500, 0.1725, 0.8275], [0.7500, 0.3450, 0.1725], [0.7500, 0.8275, 0.6550], [0.7500, 0.8275, 0.1725], [0.7500, 0.3333, 0.6667], [0.2500, 0.6667, 0.3333]],
  "volume_a3_per_atom": 28.87,
  "total_energy_ev_per_atom": -71.511
}


2.
{
  "formula": "Ho5Ni2Bi",
  "functional": "meta-GGA SCAN",
  "state": "PBEsol geometry",
  "cell": [[-6.6724, 0.7632, -3.3910], [-0.1788, -2.3081, 8.1783], [-1.8933, 5.3575, 4.9311]],
  "species": ["Ho", "Ho", "Ho", "Ho", "Ho", "Ho", "Ho", "Ho", "Ho", "Ho", "Ni", "Ni", "Ni", "Ni", "Bi", "Bi"],
  "frac_coords": [[0.0000, 0.0000, 0.0000], [0.5000, 0.0000, 0.5000], [0.0226, 0.7328, 0.7898], [0.7102, 0.7328, 0.4774], [0.5226, 0.7328, 0.9774], [0.2102, 0.7328, 0.2898], [0.9774, 0.2672, 0.2102], [0.2898, 0.2672, 0.5226], [0.4774, 0.2672, 0.0226], [0.7898, 0.2672, 0.7102], [0.3690, 0.0000, 0.8690], [0.6310, 0.0000, 0.1310], [0.8690, 0.0000, 0.6310], [0.1310, 0.0000, 0.3690], [0.7500, 0.5000, 0.2500], [0.2500, 0.5000, 0.7500]],
  "volume_a3_per_atom": 23.45,
  "total_energy_ev_per_atom": -45.013
}


3.
{
  "formula": "HoBiO3",
  "functional": "meta-GGA SCAN",
  "state": "PBEsol geometry",
  "cell": [[5.9413, 0.0000, 0.0000], [2.9706, 5.1453, 0.0000], [2.9706, 1.7151, 4.9546]],
  "species": ["Bi", "Bi", "O", "O", "O", "O", "O", "O", "Ho", "Ho"],
  "frac_coords": [[0.9951, 0.9951, 0.0146], [0.4951, 0.4951, 0.5146], [0.3984, 0.8447, 0.6886], [0.8984, 0.5683, 0.1886], [0.3447, 0.8984, 0.1886], [0.8447, 0.0683, 0.6886], [0.0683, 0.3984, 0.6886], [0.5683, 0.3447, 0.1886], [0.7119, 0.7119, 0.8642], [0.2119, 0.2119, 0.3642]],
  "volume_a3_per_atom": 15.15,
  "e_form_raw_ev_per_atom": -2.51
}


4.
{
  "formula": "Ho2BiO2",
  "functional": "meta-GGA SCAN",
  "state": "PBEsol geometry",
  "cell": [[-1.0314, -0.4749, 3.6401], [-3.1033, -1.9070, -1.1281], [5.4803, -4.4961, -1.0309]],
  "species": ["Bi", "O", "O", "Ho", "Ho"],
  "frac_coords": [[0.0000, 0.0000, 0.0000], [0.2500, 0.7500, 0.5000], [0.7500, 0.2500, 0.5000], [0.3321, 0.3321, 0.6643], [0.6679, 0.6679, 0.3357]],
  "volume_a3_per_atom": 19.30,
  "e_form_raw_ev_per_atom": -2.98
}


Q: What is the formula in the first record?
A: HoBi3